[1]
A geometry-optimized MgAgSnAu structure, computed with PBE-GGA.

## Properties
Energy of formation from the pure elements ... -0.20 eV/atom

```
4
Lattice="4.835 0.000 0.000 2.418 4.187 0.000 2.418 1.396 3.948" Properties=species:S:1:pos:R:3 pbc="T T T"
Au 7.253 4.187 2.961
Mg 4.835 2.792 1.974
Ag 2.418 1.396 0.987
Sn 0.000 0.000 0.000
```

[2]
A geometry-optimized SmPuInGe structure, computed with PBE-GGA.

## Properties
Energy of formation from the pure elements ... -0.33 eV/atom

```
4
Lattice="-3.354 1.657 3.689 -0.442 -2.636 4.524 1.825 2.104 4.456" Properties=species:S:1:pos:R:3 pbc="T T T"
In -0.493 0.281 3.167
Sm 0.000 0.000 0.000
Ge -1.479 0.844 9.501
Pu -0.986 0.563 6.334
```

[3]
A geometry-optimized Rb2TlHCl6 structure, computed with PBE-GGA.

## Properties
Total energy ... -3.02 eV/atom

```
10
Lattice="-7.515 2.383 -1.768 -2.404 -2.067 7.431 -3.980 4.344 4.312" Properties=species:S:1:pos:R:3 pbc="T T T"
Cl -6.380 1.395 0.274
Cl -9.277 3.059 6.633
Cl -7.716 0.246 4.406
Cl -2.202 0.070 1.257
Cl -4.622 1.601 3.342
Rb -5.672 1.218 7.288
Cl -3.538 -1.079 5.389
Tl 0.000 0.000 0.000
Rb -8.227 3.442 2.688
H -4.959 0.158 2.832
```

[4]
A geometry-optimized PrYTm2Te6 structure, computed with PBE-GGA.

## Properties
Raw formation energy ... -1.35 eV/atom

```
10
Lattice="7.747 0.000 0.000 3.873 6.709 0.000 3.873 2.236 7.007" Properties=species:S:1:pos:R:3 pbc="T T T"
Te 9.073 2.497 5.248
Y 3.873 2.236 0.247
Te 6.321 6.640 1.716
Te 5.372 4.312 5.247
Te 8.794 6.609 5.248
Tm 3.873 2.236 6.865
Te 10.336 4.624 1.716
Tm 7.747 4.473 3.309
Pr 11.620 6.709 3.831
Te 6.583 2.155 1.716
```

[5]
A geometry-optimized LaTb4Ho3 structure, computed with PBE-GGA.

## Properties
ΔE to the lowest computed polymorph ... 0 meV/atom
Energy of formation from the pure elements ... 0.02 eV/atom

```
16
Lattice="-2.807 -5.404 -1.607 4.319 -0.500 -5.864 7.644 -5.791 6.124" Properties=species:S:1:pos:R:3 pbc="T T T"
Ho 5.674 -9.953 -0.660
Tb 8.182 -7.403 -1.298
Ho 2.169 -4.230 -1.443
Tb 4.317 -4.475 -4.395
Tb 2.547 -6.454 1.288
La 1.214 -0.968 -2.430
Ho 1.867 -7.069 -3.710
Ho 5.017 -3.884 0.635
Tb 3.493 -9.697 2.266
Ho 0.888 -3.817 -4.718
Ho 6.006 -7.137 1.631
La 4.714 -6.690 -1.640
Tb 3.367 -1.231 -5.366
Tb -0.286 -6.834 -0.761
Tb -1.291 -3.570 -1.765
Tb 7.191 -4.140 -2.321
```

[6]
A geometry-optimized Ce2GeRh structure, computed with PBE-GGA.

## Properties
Energy of formation from the pure elements ... -0.65 eV/atom

```
4
Lattice="-4.224 0.086 -0.312 0.155 -3.261 -2.995 -0.301 -2.998 3.249" Properties=species:S:1:pos:R:3 pbc="T T T"
Rh -2.185 -3.087 -0.029
Ge -2.112 0.043 -0.156
Ce -0.150 -1.499 1.624
Ce 0.077 -1.631 -1.498
```

[7]
A geometry-optimized LiMg5Sc4 structure, computed with PBE-GGA.

## Properties
Energy of formation from the pure elements ... -0.04 eV/atom

```
10
Lattice="3.547 0.000 0.000 0.000 3.547 0.000 0.000 0.000 18.076" Properties=species:S:1:pos:R:3 pbc="T T T"
Mg 1.774 1.774 16.412
Mg 1.774 1.774 12.663
Sc 0.000 0.000 7.197
Sc 0.000 0.000 14.452
Mg 1.774 1.774 5.413
Li 0.000 0.000 0.000
Sc 0.000 0.000 3.624
Sc 0.000 0.000 10.879
Mg 1.774 1.774 9.038
Mg 1.774 1.774 1.664
```

[8]
A geometry-optimized CaLa2Er structure, computed with PBE-GGA.

## Properties
ΔE to the lowest computed polymorph ... 64 meV/atom
Energy of formation from the pure elements ... 0.10 eV/atom

```
4
Lattice="-1.779 -0.091 5.633 -0.240 -5.120 2.940 3.886 -1.118 4.308" Properties=species:S:1:pos:R:3 pbc="T T T"
La 1.401 -4.747 9.660
Er 0.000 0.000 0.000
Ca 0.934 -3.165 6.440
La 0.467 -1.582 3.220
```

[9]
A geometry-optimized NdTiZn structure, computed with PBE-GGA.

## Properties
Energy of formation from the pure elements ... 0.00 eV/atom

```
6
Lattice="4.768 0.000 0.000 -2.384 2.385 0.000 0.000 0.000 11.585" Properties=species:S:1:pos:R:3 pbc="T T T"
Nd 0.000 0.927 3.642
Nd 0.000 0.927 7.943
Ti 2.384 0.927 1.395
Ti 2.384 0.927 10.190
Zn 0.000 0.928 0.000
Zn 2.384 0.928 5.793
```

[10]
A geometry-optimized TbY3S4 structure, computed with PBE-GGA.

## Properties
Raw formation energy ... -2.00 eV/atom
ΔE to the lowest computed polymorph ... 0 meV/atom

```
8
Lattice="3.892 0.000 0.000 0.000 6.447 -2.190 0.000 -0.046 6.808" Properties=species:S:1:pos:R:3 pbc="T T T"
Y 0.000 -0.023 3.404
Y 0.000 3.223 -1.095
S 1.946 4.821 0.063
S 1.946 1.580 4.555
Tb 1.946 0.000 0.000
Y 1.946 3.200 2.309
S 0.000 4.796 3.460
S 0.000 1.605 1.158
```

Values of theoretical density, in order: 9.30 9.42 3.30 6.08 8.06 9.10 2.25 5.52 6.49 5.40, all in g cm⁻³.